ZnFeBMo: relaxed, PBE.

a b c (Å): 5.7101 5.7101 5.7101
angles (deg): 90.00 90.00 90.00
Closest atoms and distances in Å follow each position.
Space group F-43m (No. 216)
Inequivalent atoms, fractional coordinates:
Zn 0.0000 0.0000 0.0000 (multiplicity 4)  4 Mo 2.47, 4 B 2.47
Fe 0.0000 0.0000 0.5000 (multiplicity 4)  4 Mo 2.47, 4 B 2.47
B 0.2500 0.2500 0.2500 (multiplicity 4)  4 Fe 2.47, 4 Zn 2.47
Mo 0.2500 0.2500 0.7500 (multiplicity 4)  4 Fe 2.47, 4 Zn 2.47

VASP energy: -6.140 eV/atom
energy above the lowest structure with this stoichiometry: 152 meV per atom
volume: 11.6 A^3/atom
M_tot: 2.66 μB/cell